Record 1
Rb2CaAsPt: optimized geometry, PBE-GGA.

Computed properties:
ΔE_f in eV/atom: 0.1944

Cell and atoms, written as CIF:
```
data_Rb2CaAsPt
_space_group_name_H-M_alt 'P 4/m m m'
_space_group_IT_number 123
_space_group_name_Hall '-P 4 2'
_cell_length_a 6.431
_cell_length_b 6.431
_cell_length_c 5.556
_cell_angle_alpha 90.00
_cell_angle_beta 90.00
_cell_angle_gamma 90.00
loop_
_atom_site_label
_atom_site_type_symbol
_atom_site_fract_x
_atom_site_fract_y
_atom_site_fract_z
Rb1 Rb 0.000 0.500 0.000
Ca1 Ca 0.000 0.000 0.500
As1 As 0.000 0.000 0.000
Pt1 Pt 0.500 0.500 0.500
```

Record 2
AcLuGeAu: optimized geometry, PBE-GGA.

Computed properties:
ΔE_f in eV/atom: -0.6292

Cell and atoms, written as CIF:
```
data_AcLuGeAu
_space_group_name_H-M_alt 'F -4 3 m'
_space_group_IT_number 216
_space_group_name_Hall 'F -4 2 3'
_cell_length_a 7.480
_cell_length_b 7.480
_cell_length_c 7.480
_cell_angle_alpha 90.00
_cell_angle_beta 90.00
_cell_angle_gamma 90.00
loop_
_atom_site_label
_atom_site_type_symbol
_atom_site_fract_x
_atom_site_fract_y
_atom_site_fract_z
Ac1 Ac 0.000 0.000 0.000
Lu1 Lu 0.000 0.000 0.500
Ge1 Ge 0.250 0.250 0.250
Au1 Au 0.250 0.250 0.750
```

Record 3
SmAlZnCu3: optimized geometry, PBE-GGA.

Computed properties:
ΔE_f in eV/atom: -0.0684

Cell and atoms, written as CIF:
```
data_SmAlZnCu3
_space_group_name_H-M_alt 'C m c m'
_space_group_IT_number 63
_space_group_name_Hall '-C 2c 2'
_cell_length_a 6.147
_cell_length_b 12.152
_cell_length_c 5.603
_cell_angle_alpha 90.00
_cell_angle_beta 90.00
_cell_angle_gamma 90.00
loop_
_atom_site_label
_atom_site_type_symbol
_atom_site_fract_x
_atom_site_fract_y
_atom_site_fract_z
Sm1 Sm 0.000 0.205 0.250
Al1 Al 0.000 0.447 0.250
Zn1 Zn 0.000 0.143 0.750
Cu1 Cu 0.000 0.351 0.750
Cu2 Cu 0.199 0.000 0.000
```

Record 4
SrCdBr2: optimized geometry, PBE-GGA.

Computed properties:
Uncorrected formation energy in eV per atom: -1.14
Distance to the lowest polymorph of the same formula in kJ/mol of formula units: 106

Cell and atoms, written as CIF:
```
data_SrCdBr2
_space_group_name_H-M_alt 'I -4 m 2'
_space_group_IT_number 119
_space_group_name_Hall 'I -4 -2'
_cell_length_a 4.719
_cell_length_b 4.719
_cell_length_c 11.038
_cell_angle_alpha 90.00
_cell_angle_beta 90.00
_cell_angle_gamma 90.00
loop_
_atom_site_label
_atom_site_type_symbol
_atom_site_fract_x
_atom_site_fract_y
_atom_site_fract_z
Sr1 Sr 0.000 0.000 0.000
Cd1 Cd 0.000 0.500 0.250
Br1 Br 0.000 0.000 0.500
Br2 Br 0.000 0.500 0.750
```

Record 5
PrZn2HRh2: optimized geometry, PBE-GGA.

Computed properties:
DFT total energy in Ry per atom: -0.346

Cell and atoms, written as CIF:
```
data_PrZn2HRh2
_space_group_name_H-M_alt 'P 4/m m m'
_space_group_IT_number 123
_space_group_name_Hall '-P 4 2'
_cell_length_a 4.182
_cell_length_b 4.182
_cell_length_c 5.304
_cell_angle_alpha 90.00
_cell_angle_beta 90.00
_cell_angle_gamma 90.00
loop_
_atom_site_label
_atom_site_type_symbol
_atom_site_fract_x
_atom_site_fract_y
_atom_site_fract_z
Pr1 Pr 0.000 0.000 0.000
Zn1 Zn 0.500 0.500 0.230
H1 H 0.000 0.000 0.500
Rh1 Rh 0.000 0.500 0.500
```

Record 6
YTiIrRh: optimized geometry, PBE-GGA.

Computed properties:
ΔE_f in eV/atom: -0.6706

Cell and atoms, written as CIF:
```
data_YTiIrRh
_space_group_name_H-M_alt 'F -4 3 m'
_space_group_IT_number 216
_space_group_name_Hall 'F -4 2 3'
_cell_length_a 6.554
_cell_length_b 6.554
_cell_length_c 6.554
_cell_angle_alpha 90.00
_cell_angle_beta 90.00
_cell_angle_gamma 90.00
loop_
_atom_site_label
_atom_site_type_symbol
_atom_site_fract_x
_atom_site_fract_y
_atom_site_fract_z
Y1 Y 0.000 0.000 0.000
Ti1 Ti 0.000 0.000 0.500
Ir1 Ir 0.250 0.250 0.250
Rh1 Rh 0.250 0.250 0.750
```

Record 7
Nb2FeReAs: optimized geometry, PBE-GGA.

Computed properties:
ΔE_f in eV/atom: 0.9843

Cell and atoms, written as CIF:
```
data_Nb2FeReAs
_space_group_name_H-M_alt 'P 4/m m m'
_space_group_IT_number 123
_space_group_name_Hall '-P 4 2'
_cell_length_a 4.728
_cell_length_b 4.728
_cell_length_c 4.129
_cell_angle_alpha 90.00
_cell_angle_beta 90.00
_cell_angle_gamma 90.00
loop_
_atom_site_label
_atom_site_type_symbol
_atom_site_fract_x
_atom_site_fract_y
_atom_site_fract_z
Nb1 Nb 0.000 0.500 0.000
Fe1 Fe 0.000 0.000 0.500
Re1 Re 0.500 0.500 0.500
As1 As 0.000 0.000 0.000
```

Record 8
La4OsBr3: optimized geometry, PBE-GGA.

Computed properties:
Uncorrected formation energy in eV per atom: -1.08

Cell and atoms, written as CIF:
```
data_La4OsBr3
_space_group_name_H-M_alt 'P 1 2/c 1'
_space_group_IT_number 13
_cell_length_a 7.935
_cell_length_b 8.851
_cell_length_c 7.412
_cell_angle_alpha 90.00
_cell_angle_beta 108.22
_cell_angle_gamma 90.00
loop_
_space_group_symop_operation_xyz
'x,y,z'
'-x,-y,-z'
'-x,y,-z+1/2'
'x,-y,z+1/2'
loop_
_atom_site_label
_atom_site_type_symbol
_atom_site_fract_x
_atom_site_fract_y
_atom_site_fract_z
La1 La 0.208 0.107 0.011
La2 La 0.211 0.355 0.470
Os1 Os 0.000 0.124 0.250
Br1 Br 0.000 0.370 0.750
Br2 Br 0.500 0.140 0.750
Br3 Br 0.500 0.384 0.250
```

Record 9
SmGa4Ag2: optimized geometry, PBE-GGA.

Computed properties:
ΔE_f in eV/atom: -0.2258

Cell and atoms, written as CIF:
```
data_SmGa4Ag2
_space_group_name_H-M_alt 'I m m m'
_space_group_IT_number 71
_space_group_name_Hall '-I 2 2'
_cell_length_a 4.130
_cell_length_b 4.203
_cell_length_c 16.453
_cell_angle_alpha 90.00
_cell_angle_beta 90.00
_cell_angle_gamma 90.00
loop_
_atom_site_label
_atom_site_type_symbol
_atom_site_fract_x
_atom_site_fract_y
_atom_site_fract_z
Sm1 Sm 0.000 0.000 0.000
Ga1 Ga 0.000 0.000 0.426
Ga2 Ga 0.000 0.500 0.168
Ag1 Ag 0.000 0.500 0.326
```

Record 10
Sr4MgCu: optimized geometry, PBE-GGA.

Computed properties:
ΔE_f in eV/atom: 0.6394

Cell and atoms, written as CIF:
```
data_Sr4MgCu
_space_group_name_H-M_alt 'F -4 3 m'
_space_group_IT_number 216
_space_group_name_Hall 'F -4 2 3'
_cell_length_a 10.320
_cell_length_b 10.320
_cell_length_c 10.320
_cell_angle_alpha 90.00
_cell_angle_beta 90.00
_cell_angle_gamma 90.00
loop_
_atom_site_label
_atom_site_type_symbol
_atom_site_fract_x
_atom_site_fract_y
_atom_site_fract_z
Sr1 Sr 0.125 0.125 0.125
Mg1 Mg 0.000 0.000 0.500
Cu1 Cu 0.250 0.250 0.750
```

Record 11
Hf2NpH6: optimized geometry, PBE-GGA.

Computed properties:
DFT total energy in Ry per atom: -0.461

Cell and atoms, written as CIF:
```
data_Hf2NpH6
_space_group_name_H-M_alt 'C 1 2/m 1'
_space_group_IT_number 12
_cell_length_a 10.684
_cell_length_b 5.150
_cell_length_c 3.285
_cell_angle_alpha 90.00
_cell_angle_beta 107.73
_cell_angle_gamma 90.00
loop_
_space_group_symop_operation_xyz
'x,y,z'
'-x,-y,-z'
'-x,y,-z'
'x,-y,z'
'x+1/2,y+1/2,z'
'-x+1/2,-y+1/2,-z'
'-x+1/2,y+1/2,-z'
'x+1/2,-y+1/2,z'
loop_
_atom_site_label
_atom_site_type_symbol
_atom_site_fract_x
_atom_site_fract_y
_atom_site_fract_z
Hf1 Hf 0.171 0.000 0.170
Np1 Np 0.000 0.500 0.500
H1 H 0.000 0.210 0.000
H2 H 0.172 0.238 0.672
```

Record 12
Pu2FeGe: optimized geometry, PBE-GGA.

Computed properties:
ΔE_f in eV/atom: 0.1417

Cell and atoms, written as CIF:
```
data_Pu2FeGe
_space_group_name_H-M_alt 'P 6/m m m'
_space_group_IT_number 191
_space_group_name_Hall '-P 6 2'
_cell_length_a 4.9154
_cell_length_b 4.9154
_cell_length_c 4.4650
_cell_angle_alpha 90.00
_cell_angle_beta 90.00
_cell_angle_gamma 120.00
loop_
_atom_site_label
_atom_site_type_symbol
_atom_site_fract_x
_atom_site_fract_y
_atom_site_fract_z
Pu1 Pu 0.3333 0.6667 0.0000
Fe1 Fe 0.0000 0.0000 0.0000
Ge1 Ge 0.0000 0.0000 0.5000
```